[1]
Material: TiMo3Ru
Method: DFT, GGA-PBE
State: optimized geometry

abc: 4.6612 4.6612 4.6612
angles: 90.00 90.00 90.00
Positions (direct):
Ti  0.0000  0.0000  0.0000
Mo  0.0000  0.5000  0.5000
Mo  0.5000  0.0000  0.5000
Mo  0.5000  0.5000  0.0000
Ru  0.5000  0.5000  0.5000

Values from the calculation:
Space-group type = Pm-3m (221)
Energy above the lowest structure with this stoichiometry = 0 meV/atom
ΔH_f (0 K) = 1.43 eV per atom
Crystal system = cubic
DOS at the Fermi energy = 6.25 states/eV/f.u.

---

[2]
Material: TbHo5Mg2
Method: DFT, GGA-PBE
State: optimized geometry

abc: 3.4412 10.6831 12.8670
angles: 90.00 90.00 90.00
Positions (direct):
Tb  0.0000  0.0000  0.0000
Tb  0.5000  0.5000  0.5000
Ho  0.0000  0.2305  0.3684
Ho  0.0000  0.2305  0.6316
Ho  0.0000  0.5000  0.0000
Ho  0.0000  0.7695  0.3684
Ho  0.0000  0.7695  0.6316
Ho  0.5000  0.0000  0.5000
Ho  0.5000  0.2695  0.1316
Ho  0.5000  0.2695  0.8684
Ho  0.5000  0.7305  0.1316
Ho  0.5000  0.7305  0.8684
Mg  0.0000  0.5000  0.2579
Mg  0.0000  0.5000  0.7421
Mg  0.5000  0.0000  0.2421
Mg  0.5000  0.0000  0.7579

Values from the calculation:
Space-group type = Immm (71)
ΔH_f (0 K) = 0.04 eV per atom
Crystal system = orthorhombic
DOS at the Fermi energy = 11.21 states/eV/f.u.

---

[3]
Material: BOs3Rh
Method: DFT, GGA-PBE
State: optimized geometry

abc: 4.6648 4.6648 4.6648
angles: 90.00 90.00 90.00
Positions (direct):
B  0.0000  0.0000  0.0000
Os  0.0000  0.5000  0.5000
Os  0.5000  0.0000  0.5000
Os  0.5000  0.5000  0.0000
Rh  0.5000  0.5000  0.5000

Values from the calculation:
Space-group type = Pm-3m (221)
Energy above the lowest structure with this stoichiometry = 2952 meV/atom
ΔH_f (0 K) = 3.35 eV per atom
Crystal system = cubic
DOS at the Fermi energy = 11.50 states/eV/f.u.

---

[4]
Material: Nd6Sm2Er3In
Method: DFT, GGA-PBE
State: optimized geometry

abc: 6.2099 6.2099 11.8610
angles: 95.02 95.02 120.11
Positions (direct):
Nd  0.0835  0.4099  0.7509
Nd  0.2425  0.2425  0.2482
Nd  0.4099  0.0835  0.7509
Nd  0.5901  0.9165  0.2491
Nd  0.7575  0.7575  0.7518
Nd  0.9165  0.5901  0.2491
Sm  0.3336  0.6664  0.5000
Sm  0.6664  0.3336  0.5000
Er  0.1673  0.8327  0.0000
Er  0.5000  0.5000  0.0000
Er  0.8327  0.1673  0.0000
In  0.0000  0.0000  0.5000

Values from the calculation:
Space-group type = C2/m (12)
ΔH_f (0 K) = -0.05 eV per atom
Crystal system = monoclinic
DOS at the Fermi energy = 13.27 states/eV/f.u.

---

[5]
Material: HfCr2Ni
Method: DFT, GGA-PBE
State: optimized geometry

abc: 6.0707 6.0707 6.0707
angles: 90.00 90.00 90.00
Positions (direct):
Hf  0.0000  0.0000  0.0000
Hf  0.0000  0.5000  0.5000
Hf  0.5000  0.0000  0.5000
Hf  0.5000  0.5000  0.0000
Cr  0.2500  0.2500  0.2500
Cr  0.2500  0.2500  0.7500
Cr  0.2500  0.7500  0.2500
Cr  0.2500  0.7500  0.7500
Cr  0.7500  0.2500  0.2500
Cr  0.7500  0.2500  0.7500
Cr  0.7500  0.7500  0.2500
Cr  0.7500  0.7500  0.7500
Ni  0.0000  0.0000  0.5000
Ni  0.0000  0.5000  0.0000
Ni  0.5000  0.0000  0.0000
Ni  0.5000  0.5000  0.5000

Values from the calculation:
Space-group type = Fm-3m (225)
Energy above the lowest structure with this stoichiometry = 0 meV/atom
ΔH_f (0 K) = 0.34 eV per atom
Crystal system = cubic
DOS at the Fermi energy = 6.07 states/eV/f.u.

---

[6]
Material: Ca2RhAu
Method: DFT, GGA-PBE
State: optimized geometry

abc: 3.6145 3.6145 7.6640
angles: 90.00 90.00 90.00
Positions (direct):
Ca  0.0000  0.0000  0.0000
Ca  0.5000  0.5000  0.4156
Rh  0.0000  0.0000  0.6126
Au  0.5000  0.5000  0.8013

Values from the calculation:
Space-group type = P4mm (99)
ΔH_f (0 K) = -0.28 eV per atom
Crystal system = tetragonal
DOS at the Fermi energy = 2.06 states/eV/f.u.

---

[7]
Material: KGa2Sn8
Method: DFT, GGA-PBE
State: optimized geometry

abc: 8.3718 8.3718 5.1248
angles: 100.14 100.14 112.66
Positions (direct):
K  0.0000  0.0000  0.0000
Ga  0.3542  0.6458  0.5000
Ga  0.6458  0.3542  0.5000
Sn  0.0394  0.3488  0.6225
Sn  0.2510  0.7490  0.0000
Sn  0.3488  0.0394  0.6225
Sn  0.3694  0.3694  0.0949
Sn  0.6306  0.6306  0.9051
Sn  0.6512  0.9606  0.3775
Sn  0.7490  0.2510  0.0000
Sn  0.9606  0.6512  0.3775

Values from the calculation:
Space-group type = C2/m (12)
Energy above the lowest structure with this stoichiometry = 0 meV/atom
ΔH_f (0 K) = 0.06 eV per atom
Crystal system = monoclinic
DOS at the Fermi energy = 5.30 states/eV/f.u.

---

[8]
Material: Tb4PrEr5
Method: DFT, GGA-PBE
State: optimized geometry

abc: 3.5500 6.6747 14.1010
angles: 98.54 93.08 103.94
Positions (direct):
Tb  0.1174  0.3087  0.2187
Tb  0.1906  0.2260  0.8035
Tb  0.8094  0.7740  0.1965
Tb  0.8826  0.6913  0.7813
Pr  0.0000  0.5000  0.0000
Er  0.2045  0.3807  0.5830
Er  0.4899  0.9267  0.6121
Er  0.5000  0.0000  0.0000
Er  0.5101  0.0733  0.3879
Er  0.7955  0.6193  0.4170

Values from the calculation:
Space-group type = P-1 (2)
Energy above the lowest structure with this stoichiometry = 0 meV/atom
ΔH_f (0 K) = 0.06 eV per atom
Crystal system = triclinic
DOS at the Fermi energy = 16.08 states/eV/f.u.

---

[9]
Material: Co6Ir2Rh
Method: DFT, GGA-PBE
State: optimized geometry

abc: 6.4118 6.4118 6.4118
angles: 141.80 134.83 60.60
Positions (direct):
Co  0.1179  0.3906  0.7273
Co  0.2179  0.2179  0.0000
Co  0.3367  0.6094  0.7273
Co  0.6633  0.3906  0.2727
Co  0.7821  0.7821  0.0000
Co  0.8821  0.6094  0.2727
Ir  0.3649  0.8649  0.5000
Ir  0.6351  0.1351  0.5000
Rh  0.0000  0.0000  0.0000

Values from the calculation:
Space-group type = Immm (71)
ΔH_f (0 K) = 0.24 eV per atom
Crystal system = orthorhombic
DOS at the Fermi energy = 11.52 states/eV/f.u.

---

[10]
Material: Rb2CdCu2Cl6
Method: DFT, GGA-PBE
State: optimized geometry

abc: 7.3841 7.3841 7.5950
angles: 116.15 116.15 59.57
Positions (direct):
Rb  0.2282  0.2282  0.2074
Rb  0.7718  0.7718  0.7926
Cd  0.0000  0.0000  0.5000
Cu  0.4448  0.4448  0.7882
Cu  0.5552  0.5552  0.2118
Cl  0.2030  0.7141  0.2116
Cl  0.2437  0.2437  0.6618
Cl  0.2859  0.7970  0.7884
Cl  0.7141  0.2030  0.2116
Cl  0.7563  0.7563  0.3382
Cl  0.7970  0.2859  0.7884

Values from the calculation:
Space-group type = C2/m (12)
VASP energy = -3.17 eV/atom
Crystal system = monoclinic

---

[11]
Material: Sm5Hg2Ir2
Method: DFT, GGA-PBE
State: optimized geometry

abc: 8.8775 8.8775 7.8831
angles: 90.00 90.00 50.97
Positions (direct):
Sm  0.0000  0.0000  0.0000
Sm  0.0495  0.7088  0.6721
Sm  0.2088  0.5495  0.1721
Sm  0.2912  0.9505  0.6721
Sm  0.4505  0.7912  0.1721
Sm  0.5000  0.5000  0.5000
Sm  0.5495  0.2088  0.8279
Sm  0.7088  0.0495  0.3279
Sm  0.7912  0.4505  0.8279
Sm  0.9505  0.2912  0.3279
Hg  0.2137  0.2137  0.0000
Hg  0.2863  0.2863  0.5000
Hg  0.7137  0.7137  0.5000
Hg  0.7863  0.7863  0.0000
Ir  0.1293  0.8707  0.3691
Ir  0.3707  0.6293  0.8691
Ir  0.6293  0.3707  0.1309
Ir  0.8707  0.1293  0.6309

Values from the calculation:
Space-group type = Cmce (64)
ΔH_f (0 K) = -0.60 eV per atom
Crystal system = orthorhombic
DOS at the Fermi energy = 5.46 states/eV/f.u.

---

[12]
Material: Rb3Au2N2
Method: DFT, GGA-PBE
State: optimized geometry

abc: 20.6730 5.7835 4.5743
angles: 90.00 102.60 90.00
Positions (direct):
Rb  0.0000  0.0000  0.0000
Rb  0.1610  0.5000  0.6604
Rb  0.3390  0.0000  0.3396
Rb  0.5000  0.5000  0.0000
Rb  0.6610  0.0000  0.6604
Rb  0.8390  0.5000  0.3396
Au  0.1662  0.0000  0.1652
Au  0.3338  0.5000  0.8348
Au  0.6662  0.5000  0.1652
Au  0.8338  0.0000  0.8348
N  0.0000  0.5000  0.1275
N  0.0000  0.5000  0.8725
N  0.5000  0.0000  0.1275
N  0.5000  0.0000  0.8725

Values from the calculation:
Space-group type = C2/m (12)
VASP energy = -3.86 eV/atom
Crystal system = monoclinic
DOS at the Fermi energy = 3.35 states/eV/f.u.

---

[13]
Material: MnAlIN2
Method: DFT, GGA-PBE
State: optimized geometry

abc: 3.8032 3.8032 6.0765
angles: 90.00 90.00 90.00
Positions (direct):
Mn  0.0000  0.0000  0.0000
Al  0.5000  0.5000  0.5000
I  0.5000  0.5000  0.0000
N  0.0000  0.5000  0.5000
N  0.5000  0.0000  0.5000

Values from the calculation:
Space-group type = P4/mmm (123)
Energy above the lowest structure with this stoichiometry = 0 meV/atom
Crystal system = tetragonal
DOS at the Fermi energy = 2.41 states/eV/f.u.

---

[14]
Material: Al2PCN
Method: DFT, GGA-PBE
State: optimized geometry

abc: 3.9239 3.9239 4.0714
angles: 90.00 90.00 90.00
Positions (direct):
Al  0.0000  0.5000  0.0000
Al  0.5000  0.0000  0.0000
P  0.0000  0.0000  0.5000
C  0.0000  0.0000  0.0000
N  0.5000  0.5000  0.5000

Values from the calculation:
Space-group type = P4/mmm (123)
VASP energy = -4.89 eV/atom
Crystal system = tetragonal
DOS at the Fermi energy = 1.55 states/eV/f.u.